1.
A relaxed structure of KBeCd2Pt, computed with PBE.

The raw total energy comes out at -0.0977 Ha/atom. The calculation puts the formation enthalpy at 0 K at -0.6 eV/f.u. The value obtained for the calculated density is 6.18 g/cm³. The value obtained for the calculated volume is 25.14 A^3/atom. For the density of states at the Fermi level, the calculation gives 1.61 states/eV/f.u.

The structure belongs to space group P4/mmm (No. 123); the cell edges are 5.322, 5.322 and 4.437 Å and the angles 90.00°, 90.00° and 90.00°. The distinct sites, in fractional coordinates, are K at (0.000, 0.000, 0.000), Be at (0.500, 0.500, 0.000), Cd at (0.000, 0.500, 0.500) and Pt at (0.500, 0.500, 0.500).



2.
A relaxed structure of KScBeCd2, computed with PBE.

The raw total energy comes out at -0.0360 Ha/atom. The calculation puts the formation enthalpy at 0 K at 8.1 eV/f.u. The value obtained for the calculated density is 2.40 g/cm³. The value obtained for the calculated volume is 43.94 A^3/atom. For the density of states at the Fermi level, the calculation gives 4.22 states/eV/f.u.

The structure belongs to space group P4/mmm (No. 123); the cell edges are 5.956, 5.956 and 6.193 Å and the angles 90.00°, 90.00° and 90.00°. The distinct sites, in fractional coordinates, are K at (0.000, 0.000, 0.000), Sc at (0.000, 0.000, 0.500), Be at (0.500, 0.500, 0.500) and Cd at (0.000, 0.500, 0.000).